Y2NiF: relaxed, PBE+U.

Cell lengths 5.5992, 5.5992, 7.0076 Å; angles 66.45, 66.45, 90.00 degrees
With the nearest neighbours (Å) after each atom.
Sites, in units of the cell vectors:
F 0.5000 0.5000 0.0000  4 Y 2.36
Ni 0.0000 0.0000 0.0000  4 Y 2.55
Y 0.5943 0.1250 0.2500  2 F 2.36, 2 Ni 2.55
F 0.2500 0.7500 0.5000  4 Y 2.36
Y 0.8750 0.8443 0.7500  2 F 2.36, 2 Ni 2.55
Ni 0.7500 0.2500 0.5000  4 Y 2.55
Y 0.1557 0.6250 0.2500  2 F 2.36, 2 Ni 2.55
Y 0.3750 0.4057 0.7500  2 F 2.36, 2 Ni 2.55

- SG: No. 122
- Crystal system: tetragonal
- Energy: -41.60 eV for the cell shown
- Energy above the most stable polymorph in this dataset: 0 meV/atom